[1]
## CrReGe2S (PBE)

Data for CrReGe2S after structural relaxation.

E_tot	-31.69	eV/cell
mass density	6.3	g cm⁻³
ΔE_f (raw)	0.7479	eV per atom

```
5
Lattice="-2.0853 4.2847 -0.4346 -1.2115 -1.0485 -4.5236 -4.1338 -1.8559 1.5373" Properties=species:S:1:pos:R:3 pbc="T T T"
Re 0.0000 0.0000 0.0000
Ge -2.0669 -0.9279 0.7686
Ge -1.0426 2.1423 -0.2173
S -3.7153 0.6902 -1.7105
Cr -0.6058 -0.5242 -2.2618
```

[2]
## Li2EuMg (PBE)

Data for Li2EuMg after structural relaxation.

E_tot	-15.64	eV/cell
relative energy among the computed polymorphs	0.000	eV/f.u.
ΔE_f	0.0152	eV per atom
mass density	3.0	g cm⁻³

```
4
Lattice="-2.0972 -2.6658 -1.5162 2.9782 -1.3321 -1.7773 1.4846 -4.5019 5.8619" Properties=species:S:1:pos:R:3 pbc="T T T"
Eu 1.1828 -4.2499 1.2842
Mg 0.4405 -1.9989 -1.6468
Li 1.1954 -3.6252 4.7203
Li 0.2891 -0.8767 1.1416
```

[3]
## Cs2Be2Au (PBE)

Data for Cs2Be2Au after structural relaxation.

E_tot	-9.38	eV/cell
relative energy among the computed polymorphs	0.000	eV/f.u.
ΔE_f	0.6116	eV per atom
mass density	5.6	g cm⁻³

```
5
Lattice="3.4829 0.0000 0.0000 0.0000 3.4829 0.0000 1.7414 1.7414 11.8538" Properties=species:S:1:pos:R:3 pbc="T T T"
Cs 1.7414 1.7414 2.5268
Cs 3.4829 3.4829 9.3270
Be 3.4829 1.7414 5.9269
Be 1.7414 3.4829 5.9269
Au 0.0000 0.0000 0.0000
```

[4]
## AlZnTc (PBE)

Data for AlZnTc after structural relaxation.

E_tot	-31.59	eV/cell
relative energy among the computed polymorphs	0.101	eV/f.u.
ΔE_f	-0.1378	eV per atom
mass density	7.3	g cm⁻³

```
6
Lattice="-4.2929 1.5348 0.8854 -0.2504 -2.6830 3.4366 3.7538 2.2845 2.0571" Properties=species:S:1:pos:R:3 pbc="T T T"
Zn -2.4039 1.3829 2.2919
Zn 1.6144 -0.2466 4.0872
Tc -0.7705 -0.3772 1.0367
Tc -0.0189 1.5136 5.3424
Al 0.3113 1.6461 2.6952
Al -1.1007 -0.5098 3.6840
```

Record-wise DOS at the Fermi energy values, in states/eV/cell: 2.53; 6.92; 3.62; 3.30